Compound: CrRe2Ir
Source: Alexandria via LeMat-Bulk
Functional: PBE
Structure: relaxed

Cell lengths 2.7143, 2.7143, 7.6561 Å; angles 90.00, 90.00, 90.00 degrees
Last column: nearest neighbours and their distance in Å.
Element x y z (fractional)
Cr  0.5000  0.5000  0.2500  8 Re 2.65, 4 Cr 2.71
Ir  0.5000  0.5000  0.7500  4 Ir 2.71, 8 Re 2.78
Re  0.0000  0.0000  0.0121  4 Cr 2.65, 4 Re 2.71, 4 Ir 2.78
Re  0.0000  0.0000  0.4879  4 Cr 2.65, 4 Re 2.71, 4 Ir 2.78

Properties
Density ... 18.15 Mg/m³
Distance to the lowest polymorph of the same formula ... 0.25 eV per formula unit
Raw total energy ... -0.3979 Ha/atom
E_form ... 0.016 eV per atom



Compound: CrRe2Ir
Source: Alexandria via LeMat-Bulk
Functional: PBE
Structure: relaxed

Cell lengths 4.7322, 4.7322, 4.7322 Å; angles 132.44, 132.44, 69.53 degrees
Last column: nearest neighbours and their distance in Å.
Element x y z (fractional)
Cr  0.2500  0.7500  0.5000  4 Ir 2.70, 8 Re 2.72
Ir  0.7500  0.2500  0.5000  4 Cr 2.70, 8 Re 2.72
Re  0.0000  0.0000  0.0000  4 Re 2.70, 4 Ir 2.72, 4 Cr 2.72
Re  0.5000  0.5000  0.0000  4 Re 2.70, 4 Cr 2.72, 4 Ir 2.72

Properties
Density ... 18.09 Mg/m³
Distance to the lowest polymorph of the same formula ... 0.02 eV per formula unit
Raw total energy ... -0.4000 Ha/atom
E_form ... -0.041 eV per atom